The following is a GGA-PBE calculation of an optimized crystal structure of Sr2In3Ga5, from the Alexandria database.

Computed properties:
**Final energy**: -3.003 eV/atom
**Space-group type**: P-4m2 (115)
**DOS(E_F)**: 3.4 states/eV/f.u.
**V**: 251 Å³/f.u.
**Energy of formation**: -0.331 eV per atom

Structure (POSCAR):
```
Sr2In3Ga5
1.0
4.7196 0.0000 0.0000
0.0000 4.7196 0.0000
0.0000 0.0000 11.2717
Sr Ga In
2 5 3
direct
0.0000 0.5000 0.7705
0.5000 0.0000 0.2295
0.5000 0.5000 0.0000
0.0000 0.0000 0.0000
0.5000 0.5000 0.5000
0.0000 0.5000 0.1117
0.5000 0.0000 0.8883
0.5000 0.0000 0.6485
0.0000 0.0000 0.5000
0.0000 0.5000 0.3515
```